Entry 1:
HgRhOF2 | PBE | optimized geometry

```
5
Lattice="-2.4451 2.7607 -2.5701 -3.2456 0.0206 3.1098 1.7899 3.3040 1.8462" Properties=species:S:1:pos:R:3 pbc="T T T"
O 0.8949 1.6520 0.9231
F -1.6228 0.0103 1.5549
Hg 0.0000 0.0000 0.0000
Rh -1.9504 3.0426 1.1930
F -1.2226 1.3804 -1.2851
```

Values from the calculation:
The formation energy from raw total energies comes out at 0.058 eV per atom. As for the energy above the lowest structure with this stoichiometry: 816.3 meV/atom. Its symmetry is P4/mmm, No. 123.

---

Entry 2:
HfCd3Fe | PBE | optimized geometry

```
5
Lattice="4.8216 0.0000 0.0000 0.0000 4.8216 0.0000 0.0000 0.0000 4.8216" Properties=species:S:1:pos:R:3 pbc="T T T"
Fe 0.0000 0.0000 0.0000
Cd 0.0000 0.0000 2.4108
Cd 2.4108 0.0000 0.0000
Cd 0.0000 2.4108 0.0000
Hf 2.4108 2.4108 2.4108
```

Values from the calculation:
For the calculated formation energy, the calculation gives 0.9107 eV/atom. As for the energy above the lowest structure with this stoichiometry: 0.0 meV/atom. Its symmetry is Pm-3m, No. 221.

---

Entry 3:
Ca2PtAu | PBE | optimized geometry

```
4
Lattice="5.1426 -2.3503 -2.6659 -2.0725 5.2607 2.6659 -2.9459 0.0330 5.5135" Properties=species:S:1:pos:R:3 pbc="T T T"
Pt 0.0000 0.0000 0.0000
Au -2.5092 2.6469 4.0897
Ca -3.8147 4.0240 6.2175
Ca -1.2037 1.2697 1.9618
```

Values from the calculation:
For the calculated formation energy, the calculation gives 0.2825 eV/atom. Its symmetry is Immm, No. 71.

---

Entry 4:
SmGa2Ag6 | PBE | optimized geometry

```
9
Lattice="-0.4839 -1.4751 -2.8670 -6.5448 -4.4125 1.5084 -7.0371 3.1325 -2.2904" Properties=species:S:1:pos:R:3 pbc="T T T"
Ga -9.1629 -2.0755 -2.9347
Ag -2.5118 -1.9631 -0.4280
Ag -6.9515 -2.6243 -1.1968
Ag -11.3896 -3.3103 -1.9530
Ag -2.6761 0.5552 -1.6960
Ag -11.5539 -0.7919 -3.2210
Sm -0.4839 -1.4751 -2.8670
Ga -4.9028 -0.6796 -0.7144
Ag -7.1142 -0.1308 -2.4522
```

Values from the calculation:
For the calculated formation energy, the calculation gives -0.0028 eV/atom. As for the energy above the lowest structure with this stoichiometry: 190.7 meV/atom. Its symmetry is C2/m, No. 12.

---

Entry 5:
Mn21Nb2C6 | PBE | optimized geometry

```
29
Lattice="-1.8920 -6.0120 3.9692 5.2910 -4.2861 3.0187 0.9892 -0.0515 7.3822" Properties=species:S:1:pos:R:3 pbc="T T T"
Nb 1.0970 -2.5874 3.5925
Mn -1.2628 -4.0125 2.6491
Mn -0.6293 -1.9996 1.3201
Mn 3.8603 -2.8777 4.4700
Mn 0.0000 0.0000 0.0000
Mn 2.1446 -4.0116 8.9233
C 4.0369 -4.7972 8.6355
Mn 2.6973 -6.3616 8.8329
Mn 2.2436 -6.3380 5.4469
Nb 3.2911 -7.7622 10.7776
Mn 0.0309 -2.0339 6.2471
C 0.3512 -5.5524 5.7347
C 0.7973 -5.5756 9.0641
Mn 2.4199 -1.4599 5.9310
Mn 1.7598 -1.4255 1.0040
Mn 0.6602 -0.0343 4.9270
Mn 2.9020 -4.8601 3.3349
Mn 0.4970 -5.4380 3.6531
Mn 3.5651 -3.6040 7.0123
Mn 3.5313 -2.8606 2.0147
Mn 0.3290 -0.0171 2.4553
C 3.5908 -4.7740 5.3061
Mn 4.1177 -5.9539 6.9219
Mn 1.6909 -3.9880 5.5373
Mn -0.9338 -4.0296 5.1043
Mn 0.8231 -6.7456 7.3578
Mn 0.2704 -4.3957 7.4483
C 2.7375 -7.4854 7.0962
C 1.6507 -2.8642 7.2740
```

Values from the calculation:
For the calculated formation energy, the calculation gives -0.1077 eV/atom. Its symmetry is Fm-3m, No. 225.

---

Entry 6:
K2OsRu | PBE | optimized geometry

```
4
Lattice="4.8965 0.0016 0.0000 -0.0068 4.8965 0.0000 -2.4449 -2.4490 3.4642" Properties=species:S:1:pos:R:3 pbc="T T T"
Os 2.4449 2.4490 0.0000
K -0.0034 2.4483 1.7321
Ru 2.4483 0.0008 1.7321
K 0.0000 0.0000 0.0000
```

Values from the calculation:
For the calculated formation energy, the calculation gives 1.6711 eV/atom. As for the energy above the lowest structure with this stoichiometry: 973.6 meV/atom. Its symmetry is I-4m2, No. 119.

---

Entry 7:
InNi2Au2 | PBE | optimized geometry

```
5
Lattice="3.5415 0.0000 0.0000 0.0000 3.5415 0.0000 1.7707 1.7707 6.8227" Properties=species:S:1:pos:R:3 pbc="T T T"
Au 3.5415 3.5415 5.3335
Ni 3.5415 1.7707 3.4113
Ni 1.7707 3.5415 3.4113
In 0.0000 0.0000 0.0000
Au 1.7707 1.7707 1.4891
```

Values from the calculation:
For the calculated formation energy, the calculation gives 0.1558 eV/atom. As for the energy above the lowest structure with this stoichiometry: 204.7 meV/atom. Its symmetry is I4/mmm, No. 139.

---

Entry 8:
LaZrIr2 | PBE | optimized geometry

```
4
Lattice="-3.4717 0.4497 2.6050 1.9911 -1.1420 2.8507 2.4181 4.4633 2.4522" Properties=species:S:1:pos:R:3 pbc="T T T"
Ir -0.9562 1.4502 2.1301
Ir 2.7080 3.9518 2.9269
La 1.9574 1.2990 2.3844
Zr 1.8510 3.1940 5.5702
```

Values from the calculation:
For the calculated formation energy, the calculation gives -0.6259 eV/atom. Its symmetry is Amm2, No. 38.

---

Entry 9:
MnSi2Ni2 | PBE | optimized geometry

```
10
Lattice="6.7146 0.0000 0.0000 0.0000 6.7146 0.0000 0.0000 0.0000 2.5144" Properties=species:S:1:pos:R:3 pbc="T T T"
Ni 0.8604 2.4969 0.0000
Ni 2.4969 5.8542 0.0000
Mn 3.3573 3.3573 0.0000
Si 2.2065 1.1508 1.2572
Si 4.5081 5.5638 1.2572
Ni 4.2177 0.8604 0.0000
Si 1.1508 4.5081 1.2572
Mn 0.0000 0.0000 0.0000
Ni 5.8542 4.2177 0.0000
Si 5.5638 2.2065 1.2572
```

Values from the calculation:
The formation energy from raw total energies comes out at -0.187 eV per atom. Its symmetry is P4/mbm, No. 127.

---

Entry 10:
LiMoP2Cl | PBE | optimized geometry

```
5
Lattice="-2.6860 2.4678 -2.2348 -2.4636 0.4583 3.4670 2.2864 3.5365 1.1572" Properties=species:S:1:pos:R:3 pbc="T T T"
Li 0.0000 0.0000 0.0000
P -1.2318 0.2292 1.7335
P -1.3430 1.2339 -1.1174
Cl 1.1432 1.7683 0.5786
Mo -1.4316 3.2313 1.1947
```

Values from the calculation:
The formation energy from raw total energies comes out at 0.947 eV per atom. As for the energy above the lowest structure with this stoichiometry: 1025.8 meV/atom. Its symmetry is P4/mmm, No. 123.

---

Entry 11:
Pm12ZnRh6 | PBE | optimized geometry

```
19
Lattice="-1.2452 5.0548 6.6434 -7.8869 -2.3527 -1.8703 3.0405 -6.9590 3.6828" Properties=species:S:1:pos:R:3 pbc="T T T"
Pm -6.4715 -4.0980 -0.0291
Pm -7.9203 0.7703 2.9734
Rh -3.3121 -5.6740 4.4358
Zn 0.0000 0.0000 0.0000
Rh -4.0854 -2.8946 0.9088
Rh -6.4828 -1.2106 4.3986
Pm -2.5697 -7.6765 2.5756
Pm -1.6124 -3.8066 6.1158
Pm 0.3800 -0.1589 8.4850
Pm -1.7660 -4.0603 2.4773
Pm -5.2724 -3.8308 3.4670
Pm 1.8287 -5.0272 5.4825
Rh -2.7795 1.4171 4.0201
Pm -4.4792 -0.4503 2.3401
Pm -0.8192 -0.4261 4.9889
Pm -3.5219 3.4196 5.8803
Rh 0.3912 -3.0463 4.0573
Rh -2.0062 -1.3623 7.5471
Pm -4.3255 -0.1966 5.9786
```

Values from the calculation:
For the calculated formation energy, the calculation gives -0.4309 eV/atom. As for the energy above the lowest structure with this stoichiometry: 51.1 meV/atom. Its symmetry is R-3, No. 148.

---

Entry 12:
Ba2LaTe | PBE | optimized geometry

```
4
Lattice="-1.2706 6.3752 4.4630 -4.6894 3.9579 4.9518 1.1761 -0.4344 6.0777" Properties=species:S:1:pos:R:3 pbc="T T T"
Te -0.9941 2.2404 4.1268
La -2.8333 5.5558 7.6588
Ba -5.6960 9.8845 9.0427
Ba -3.6124 7.5003 11.8253
```

Values from the calculation:
The formation energy from raw total energies comes out at -0.600 eV per atom. Its symmetry is Cm, No. 8.